1.
This record from Alexandria via LeMat-Bulk describes a relaxed structure of La2PrNd6Dy. The functional is GGA-PBE.

E_tot = -4.677 eV/atom
calculated volume = 711.4 Å³ per cell
density of states at the Fermi level = 30.54 states/eV/cell
ΔH_f (0 K) = 108 meV/atom

Cell lengths 8.970, 8.970, 10.145 Å; angles 95.05, 95.05, 117.82 degrees
Fractional coordinates of all 20 atoms:
La  0.194  0.290  0.041
La  0.290  0.194  0.541
La  0.710  0.806  0.459
La  0.806  0.710  0.959
Pr  0.012  0.988  0.250
Pr  0.988  0.012  0.750
Nd  0.017  0.577  0.189
Nd  0.119  0.739  0.555
Nd  0.261  0.881  0.945
Nd  0.299  0.506  0.380
Nd  0.423  0.983  0.311
Nd  0.494  0.701  0.120
Nd  0.506  0.299  0.880
Nd  0.577  0.017  0.689
Nd  0.701  0.494  0.620
Nd  0.739  0.119  0.055
Nd  0.881  0.261  0.445
Nd  0.983  0.423  0.811
Dy  0.406  0.594  0.750
Dy  0.594  0.406  0.250

=====

2.
This record from Alexandria via LeMat-Bulk describes a relaxed structure of Dy2MgRu2. The functional is GGA-PBE.

E_tot = -6.129 eV/atom
calculated volume = 212.0 Å³ per cell
density of states at the Fermi level = 9.09 states/eV/cell
ΔH_f (0 K) = -259 meV/atom

Cell lengths 5.730, 5.730, 8.103 Å; angles 104.50, 104.50, 56.23 degrees
Fractional coordinates of all 10 atoms:
Dy  0.020  0.689  0.853
Dy  0.311  0.980  0.647
Dy  0.689  0.020  0.353
Dy  0.980  0.311  0.147
Mg  0.349  0.651  0.250
Mg  0.651  0.349  0.750
Ru  0.194  0.534  0.499
Ru  0.466  0.806  0.001
Ru  0.534  0.194  0.999
Ru  0.806  0.466  0.501

=====

3.
This record from Alexandria via LeMat-Bulk describes a relaxed structure of Tm5ThSc4. The functional is GGA-PBE.

E above lowest polymorph = 329 meV/atom
E_tot = -5.144 eV/atom
calculated volume = 291.9 Å³ per cell
density of states at the Fermi level = 15.86 states/eV/cell
ΔH_f (0 K) = 366 meV/atom

Cell lengths 7.541, 7.541, 7.541 Å; angles 99.62, 99.62, 131.75 degrees
Fractional coordinates of all 10 atoms:
Tm  0.000  0.000  0.000
Tm  0.502  0.602  0.609
Tm  0.602  0.993  0.100
Tm  0.893  0.502  0.900
Tm  0.993  0.893  0.391
Th  0.468  0.468  0.000
Sc  0.188  0.604  0.299
Sc  0.304  0.889  0.701
Sc  0.604  0.304  0.415
Sc  0.889  0.188  0.585

=====

4.
This record from Alexandria via LeMat-Bulk describes a relaxed structure of ThGaBr. The functional is GGA-PBE.

E_tot = -5.091 eV/atom
calculated volume = 177.9 Å³ per cell
density of states at the Fermi level = 2.68 states/eV/cell
raw formation energy = -1.05 eV per atom

Cell lengths 4.181, 4.181, 12.001 Å; angles 100.13, 100.13, 60.02 degrees
Fractional coordinates of all 6 atoms:
Th  0.059  0.059  0.175
Th  0.941  0.941  0.825
Ga  0.335  0.335  0.004
Ga  0.665  0.665  0.996
Br  0.219  0.219  0.659
Br  0.781  0.781  0.341